Cu2BPtF, optimized geometry, DFT PBE-GGA; SG = P4/mmm (123); uncorrected energy = -3.970 eV/atom; magnetic moment = 0.000 μB/f.u.; crystal system = tetragonal; formation energy from raw total energies = 0.59 eV/atom
1.0
-1.416 -3.234 1.577
-1.162 -1.332 -3.773
3.433 -1.722 -0.449
F Cu Pt B
1 2 1 1
Cartesian
0.000 0.000 0.000
-0.708 -1.617 0.789
1.716 -0.861 -0.225
0.427 -3.144 -1.323
-0.581 -0.666 -1.886